Arrangement i

Below is Pr8AlAu2 after structural relaxation, with properties calculated at the PBE level.

a = 5.282 Å, b = 7.259 Å, c = 9.813 Å
α = 108.66°, β = 105.61°, γ = 90.00°
Element x y z (fractional)
Pr: 0.409 0.531 0.819
Pr: 0.670 0.987 0.341
Pr: 0.805 0.669 0.610
Pr: 0.977 0.226 0.954
Pr: 0.195 0.331 0.390
Pr: 0.330 0.013 0.659
Pr: 0.591 0.469 0.181
Pr: 0.023 0.774 0.046
Al: 0.500 0.000 0.000
Au: 0.824 0.273 0.649
Au: 0.176 0.727 0.351

Results
For the density of states at the Fermi level, the calculation gives 11.65 states/eV per cell. The calculation puts the magnetization at 0.0 μB/cell.

---

Arrangement ii

Below is Pr8AlAu2 after structural relaxation, with properties calculated at the PBE level.

a = 5.076 Å, b = 8.536 Å, c = 9.158 Å
α = 117.78°, β = 106.09°, γ = 90.00°
Element x y z (fractional)
Pr: 0.663 0.887 0.326
Pr: 0.337 0.561 0.674
Pr: 0.135 0.135 0.270
Pr: 0.000 0.313 0.000
Pr: 0.865 0.865 0.730
Pr: 0.663 0.439 0.326
Pr: 0.337 0.113 0.674
Pr: 0.000 0.687 0.000
Al: 0.500 0.000 0.000
Au: 0.193 0.693 0.386
Au: 0.807 0.307 0.614

Results
For the density of states at the Fermi level, the calculation gives 15.60 states/eV per cell. The calculation puts the magnetization at 0.0 μB/cell.

---

Most stable pick: arrangement i. Distance to second place: 72 meV/atom.